The following is a DFT calculation (PBE) of a geometry-optimized HgBSe2Br structure.

a b c (Å): 5.2431 5.2431 5.6714
angles (deg): 90.00 90.00 90.00
Sites, in units of the cell vectors:
Hg  0.0000  0.0000  0.0000
B  0.5000  0.5000  0.5000
Se  0.0000  0.5000  0.0000
Se  0.5000  0.0000  0.0000
Br  0.0000  0.0000  0.5000

Summary:
Magnetic moment ... 0.178 μB/atom
E_form (uncorrected) ... 1359 meV/atom
Relative energy among the computed polymorphs ... 739 meV per atom